No. 1
LaTaSe2 | GGA-PBEsol | relaxed

Computed properties:
The calculation puts the density of states at the Fermi level at 3.5 states/eV/f.u. As for the uncorrected formation energy: -0.84 eV per atom.

Unit cell a=3.4926 b=3.6587 c=7.0311 alpha=90.00 beta=90.00 gamma=90.00
Last column: nearest neighbours and their distance in Å.
Positions (direct):
Se: 0.5000 0.0000 0.2594  2 Ta 2.58
Se: 0.5000 0.0000 0.7406  2 Ta 2.58
La: 0.0000 0.5000 0.5000  8 Se 3.04
Ta: 0.5000 0.5000 0.0000  4 Se 2.58

=====

No. 2
LaTaSe2 | GGA-PBEsol | relaxed

Computed properties:
The calculation puts the density of states at the Fermi level at 4.1 states/eV/f.u. As for the uncorrected formation energy: 0.15 eV per atom.

Unit cell a=4.9359 b=4.9359 c=4.9359 alpha=60.00 beta=60.00 gamma=60.00
Last column: nearest neighbours and their distance in Å.
Positions (direct):
Se: 0.7500 0.7500 0.7500  4 La 3.02, 4 Se 3.02
Se: 0.0000 0.0000 0.0000  4 Ta 3.02, 4 Se 3.02
La: 0.5000 0.5000 0.5000  4 Ta 3.02, 4 Se 3.02
Ta: 0.2500 0.2500 0.2500  4 La 3.02, 4 Se 3.02

=====

No. 3
La2TaSe | GGA-PBEsol | relaxed

Computed properties:
The calculation puts the density of states at the Fermi level at 4.9 states/eV/f.u. As for the uncorrected formation energy: -0.28 eV per atom.

Unit cell a=3.3824 b=5.4242 c=5.4242 alpha=90.00 beta=90.00 gamma=90.00
Last column: nearest neighbours and their distance in Å.
Positions (direct):
Se: 0.5000 0.5000 0.5000  8 La 3.20, 2 Se 3.38
La: 0.0000 0.0000 0.5000  4 Se 3.20, 4 Ta 3.20, 2 La 3.38
La: 0.0000 0.5000 0.0000  4 Ta 3.20, 4 Se 3.20, 2 La 3.38
Ta: 0.5000 0.0000 0.0000  8 La 3.20, 2 Ta 3.38

=====

Listing spin magnetization for the structures above in their given order: 0.004, 1.664, 0.000 μB/cell.